Below is an optimized crystal structure of Tl2TeOs, with properties calculated at the PBE-GGA level.

abc: 7.858 7.858 4.421
angles: 73.66 73.66 23.76
Sites, in units of the cell vectors:
Os 0.750 0.750 0.750
Te 0.250 0.250 0.250
Tl 0.072 0.072 0.928
Tl 0.428 0.428 0.572

Results
SG   Immm (71)
E_form (uncorrected)   52.4 kJ/mol of atoms
Electronic total energy   -4.2334 eV/atom
ΔE to the lowest computed polymorph   153.3 meV/atom